Al2PSe: optimized geometry, PBE.

## Properties
The formation energy without anion corrections comes out at -0.036 eV/f.u. The relative energy among the computed polymorphs comes out at 44.8 kJ per mole of atoms. The density comes out at 3.3 g cm⁻³.

```
data_Al2PSe
_chemical_formula_sum 'Al2 P1 Se1'
_cell_length_a 3.483
_cell_length_b 3.576
_cell_length_c 6.629
_cell_angle_alpha 90.00
_cell_angle_beta 90.00
_cell_angle_gamma 90.00
_symmetry_space_group_name_H-M 'P m m m'
_symmetry_Int_Tables_number 47
_symmetry_space_group_name_Hall '-P 2 2'
loop_
_atom_site_label
_atom_site_type_symbol
_atom_site_fract_x
_atom_site_fract_y
_atom_site_fract_z
_atom_site_occupancy
Al1 Al 0.000 0.000 0.000 1
Al2 Al 0.000 0.500 0.500 1
P1 P 0.500 0.000 0.500 1
Se1 Se 0.500 0.500 0.000 1
```